The following is a PBE calculation of a relaxed structure of KLiRh2, from the Alexandria database. Values from VASP.

Calculated values
- density of states at the Fermi level (states/eV per cell) = 3.75
- E_form (kJ/mol of formula units) = 90
- ΔE to the lowest computed polymorph (meV/atom) = 13.7

Quantum ESPRESSO input file:
```
&SYSTEM
  ibrav = 0, nat = 4, ntyp = 3
/
ATOMIC_SPECIES
Rh 102.91 Rh.upf
K 39.10 K.upf
Li 6.94 Li.upf
ATOMIC_POSITIONS crystal
Rh 0.500 0.246 0.142
Rh 0.000 0.799 0.037
K 0.000 0.561 0.487
Li 0.500 0.894 0.834
CELL_PARAMETERS angstrom
4.233 0.000 0.000
0.000 2.809 0.122
0.000 1.065 6.901
```